The following is a SCAN calculation of a crystal of Ho2As7Rh12 relaxed with PBEsol, from Alexandria via LeMat-Bulk.

## Properties
Mass density in Mg/m³: 10.7
Total magnetic moment in μB per formula unit: 0.00
Crystal system: trigonal
Formation enthalpy at 0 K in eV per atom: -0.841
Total DFT energy (no corrections) in eV per atom: -31.534
Symmetry: P-3, No. 147

Cell lengths 3.854, 9.833, 9.833 Å; angles 120.00, 90.00, 90.00 degrees
Sites, in units of the cell vectors:
As 0.500 0.000 0.000
As 0.250 0.881 0.593
As 0.750 0.119 0.407
As 0.250 0.712 0.119
As 0.750 0.288 0.881
As 0.750 0.593 0.712
As 0.250 0.407 0.288
Rh 0.244 0.737 0.885
Rh 0.756 0.885 0.149
Rh 0.756 0.263 0.115
Rh 0.749 0.381 0.447
Rh 0.251 0.934 0.381
Rh 0.756 0.851 0.737
Rh 0.749 0.553 0.934
Rh 0.244 0.115 0.851
Rh 0.251 0.447 0.066
Rh 0.749 0.066 0.619
Rh 0.251 0.619 0.553
Rh 0.244 0.149 0.263
Ho 0.754 0.667 0.333
Ho 0.246 0.333 0.667


The following is a SCAN calculation of a crystal of MgCdCu relaxed with PBEsol, from Alexandria via LeMat-Bulk.

## Properties
Mass density in Mg/m³: 6.7
Total magnetic moment in μB per formula unit: 0.00
Crystal system: orthorhombic
Formation enthalpy at 0 K in eV per atom: -0.085
Total DFT energy (no corrections) in eV per atom: -16.948
Energy relative to the lowest polymorph listed for this composition in eV per formula unit: 0.000
Symmetry: Imm2, No. 44

Cell lengths 3.309, 3.268, 5.159 Å; angles 108.46, 108.71, 90.00 degrees
Sites, in units of the cell vectors:
Mg 0.321 0.321 0.642
Cu 0.668 0.668 0.336
Cd 0.011 0.011 0.022


The following is a SCAN calculation of a crystal of Be2ReRu2 relaxed with PBEsol, from Alexandria via LeMat-Bulk.

## Properties
Mass density in Mg/m³: 12.1
Total magnetic moment in μB per formula unit: 0.00
Crystal system: tetragonal
Formation enthalpy at 0 K in eV per atom: -0.300
Total DFT energy (no corrections) in eV per atom: -30.191
Symmetry: P4/mbm, No. 127

Cell lengths 2.837, 6.264, 6.264 Å; angles 90.00, 90.00, 90.00 degrees
Sites, in units of the cell vectors:
Re 0.000 0.500 0.500
Re 0.000 0.000 0.000
Be 0.000 0.372 0.872
Be 0.000 0.872 0.628
Be 0.000 0.628 0.128
Be 0.000 0.128 0.372
Ru 0.500 0.664 0.836
Ru 0.500 0.836 0.336
Ru 0.500 0.336 0.164
Ru 0.500 0.164 0.664


The following is a SCAN calculation of a crystal of MgCrOs2 relaxed with PBEsol, from Alexandria via LeMat-Bulk.

## Properties
Mass density in Mg/m³: 14.0
Total magnetic moment in μB per formula unit: 0.00
Crystal system: orthorhombic
Formation enthalpy at 0 K in eV per atom: 0.150
Total DFT energy (no corrections) in eV per atom: -41.630
Symmetry: Imm2, No. 44

Cell lengths 2.985, 4.213, 5.023 Å; angles 114.79, 107.29, 90.00 degrees
Sites, in units of the cell vectors:
Mg 0.245 0.745 0.490
Os 0.004 0.004 0.008
Os 0.758 0.258 0.515
Cr 0.493 0.493 0.986


Q: What is the total magnetic moment in the second record?
A: 0.00 μB per formula unit